Record 1
Ho6Sn3C2 | PBE | optimized geometry

```
Ho6Sn3C2
1.0
-2.381 2.381 12.360
2.381 -2.381 12.360
2.381 2.381 -12.360
Ho Sn C
6 3 2
Direct
0.084 0.584 0.500
0.195 0.195 0.000
0.416 0.916 0.500
0.584 0.084 0.500
0.805 0.805 0.000
0.916 0.416 0.500
0.323 0.323 0.000
0.500 0.500 0.000
0.677 0.677 0.000
0.103 0.103 0.000
0.897 0.897 0.000
```

Output
* DFT formation energy: -485 meV per atom

=====

Record 2
Ho7Sn4C | PBE | optimized geometry

```
Ho7Sn4C
1.0
7.981 -2.500 0.000
7.981 2.500 0.000
-6.911 0.000 8.732
Ho Sn C
7 4 1
Direct
0.000 0.000 0.000
0.136 0.136 0.547
0.276 0.276 0.138
0.438 0.438 0.753
0.562 0.562 0.247
0.724 0.724 0.862
0.864 0.864 0.453
0.084 0.084 0.782
0.222 0.222 0.352
0.778 0.778 0.648
0.916 0.916 0.218
0.500 0.500 0.000
```

Output
* DFT formation energy: -367 meV per atom

=====

Record 3
Ho6Sn2C | PBE | optimized geometry

```
Ho6Sn2C
1.0
0.000 4.847 4.847
4.847 0.000 4.847
4.847 4.847 0.000
Ho Sn C
6 2 1
Direct
0.246 0.246 0.754
0.246 0.754 0.246
0.246 0.754 0.754
0.754 0.246 0.246
0.754 0.246 0.754
0.754 0.754 0.246
0.250 0.250 0.250
0.750 0.750 0.750
0.000 0.000 0.000
```

Output
* DFT formation energy: -513 meV per atom
* relative energy among the computed polymorphs: 0 meV per atom

=====

Record 4
Ho8Sn2C3 | PBE | optimized geometry

```
Ho8Sn2C3
1.0
7.493 -3.617 0.000
7.493 3.617 0.000
-1.875 0.000 6.098
Ho Sn C
8 2 3
Direct
0.094 0.094 0.900
0.150 0.669 0.610
0.331 0.850 0.390
0.398 0.398 0.061
0.602 0.602 0.939
0.669 0.150 0.610
0.850 0.331 0.390
0.906 0.906 0.100
0.255 0.255 0.330
0.745 0.745 0.670
0.000 0.000 0.500
0.255 0.745 0.000
0.745 0.255 0.000
```

Output
* DFT formation energy: -352 meV per atom

=====

Record 5
Ho12Sn5C2 | PBE | optimized geometry

```
Ho12Sn5C2
1.0
8.382 -3.736 0.000
8.382 3.736 0.000
-2.676 0.000 9.019
Ho Sn C
12 5 2
Direct
0.002 0.002 0.179
0.099 0.601 0.427
0.101 0.594 0.923
0.399 0.901 0.573
0.406 0.899 0.077
0.498 0.498 0.170
0.502 0.502 0.830
0.594 0.101 0.923
0.601 0.099 0.427
0.899 0.406 0.077
0.901 0.399 0.573
0.998 0.998 0.821
0.186 0.186 0.840
0.194 0.194 0.349
0.500 0.500 0.500
0.806 0.806 0.651
0.814 0.814 0.160
0.250 0.750 0.000
0.750 0.250 0.000
```

Output
* DFT formation energy: -368 meV per atom

=====

Record 6
Ho6Sn3C | PBE | optimized geometry

```
Ho6Sn3C
1.0
6.338 0.000 0.000
0.000 8.190 0.000
-5.819 0.000 10.227
Ho Sn C
12 6 2
Direct
0.092 0.049 0.226
0.092 0.451 0.726
0.178 0.722 0.057
0.178 0.778 0.557
0.380 0.148 0.050
0.380 0.352 0.550
0.620 0.648 0.450
0.620 0.852 0.950
0.822 0.222 0.443
0.822 0.278 0.943
0.908 0.549 0.274
0.908 0.951 0.774
0.323 0.106 0.735
0.323 0.394 0.235
0.500 0.000 0.500
0.500 0.500 0.000
0.677 0.606 0.765
0.677 0.894 0.265
0.000 0.000 0.000
0.000 0.500 0.500
```

Output
* DFT formation energy: -515 meV per atom

=====

Record 7
Ho9Sn3C2 | PBE | optimized geometry

```
Ho9Sn3C2
1.0
6.860 0.000 0.000
-3.430 5.941 0.000
0.000 0.000 8.409
Ho Sn C
9 3 2
Direct
0.000 0.500 0.000
0.169 0.339 0.669
0.169 0.831 0.669
0.339 0.169 0.331
0.500 0.000 0.000
0.500 0.500 0.000
0.661 0.831 0.669
0.831 0.169 0.331
0.831 0.661 0.331
0.000 0.000 0.000
0.333 0.667 0.334
0.667 0.333 0.666
0.333 0.667 0.830
0.667 0.333 0.170
```

Output
* DFT formation energy: -559 meV per atom

=====

Record 8
Ho7Sn3C2 | PBE | optimized geometry

```
Ho7Sn3C2
1.0
-2.412 2.412 12.706
2.412 -2.412 12.706
2.412 2.412 -12.706
Ho Sn C
7 3 2
Direct
0.000 0.000 0.000
0.096 0.596 0.500
0.194 0.194 0.000
0.404 0.904 0.500
0.596 0.096 0.500
0.806 0.806 0.000
0.904 0.404 0.500
0.319 0.319 0.000
0.500 0.500 0.000
0.681 0.681 0.000
0.097 0.097 0.000
0.903 0.903 0.000
```

Output
* DFT formation energy: -665 meV per atom

=====

Record 9
Ho6SnC3 | PBE | optimized geometry

```
Ho6SnC3
1.0
3.247 1.874 5.926
-3.247 1.874 5.926
0.000 -3.749 5.926
Ho Sn C
6 1 3
Direct
0.001 0.339 0.660
0.044 0.954 0.486
0.339 0.660 0.001
0.486 0.044 0.954
0.660 0.001 0.339
0.954 0.486 0.044
0.509 0.509 0.509
0.073 0.073 0.073
0.266 0.266 0.266
0.738 0.738 0.738
```

Output
* DFT formation energy: -326 meV per atom

=====

Record 10
Ho4SnC2 | PBE | optimized geometry

```
Ho4SnC2
1.0
1.795 1.036 14.106
-1.795 1.036 14.106
0.000 -2.073 14.106
Ho Sn C
4 1 2
Direct
0.124 0.124 0.124
0.273 0.273 0.273
0.727 0.727 0.727
0.876 0.876 0.876
0.000 0.000 0.000
0.427 0.427 0.427
0.573 0.573 0.573
```

Output
* DFT formation energy: -441 meV per atom

=====

Record 11
Ho12Sn6C | PBE | optimized geometry

```
Ho12Sn6C
1.0
5.901 3.407 4.562
-5.901 3.407 4.562
0.000 -6.814 4.562
Ho Sn C
12 6 1
Direct
0.046 0.714 0.925
0.075 0.954 0.286
0.201 0.546 0.416
0.286 0.075 0.954
0.416 0.201 0.546
0.454 0.584 0.799
0.546 0.416 0.201
0.584 0.799 0.454
0.714 0.925 0.046
0.799 0.454 0.584
0.925 0.046 0.714
0.954 0.286 0.075
0.135 0.371 0.748
0.252 0.865 0.629
0.371 0.748 0.135
0.629 0.252 0.865
0.748 0.135 0.371
0.865 0.629 0.252
0.000 0.000 0.000
```

Output
* DFT formation energy: -522 meV per atom

=====

Record 12
Ho3Sn2C | PBE | optimized geometry

```
Ho3Sn2C
1.0
5.242 -4.354 0.000
5.242 4.354 0.000
0.000 0.000 6.618
Ho Sn C
6 4 2
Direct
0.160 0.840 0.750
0.347 0.347 0.000
0.347 0.347 0.500
0.653 0.653 0.000
0.653 0.653 0.500
0.840 0.160 0.250
0.042 0.684 0.250
0.316 0.958 0.250
0.684 0.042 0.750
0.958 0.316 0.750
0.421 0.579 0.750
0.579 0.421 0.250
```

Output
* DFT formation energy: -454 meV per atom

=====

Record 13
Tb2HoSnC | PBE | optimized geometry

```
Tb2HoSnC
1.0
4.921 0.000 0.000
0.000 4.921 0.000
0.000 0.000 4.866
Tb Ho Sn C
2 1 1 1
Direct
0.000 0.500 0.000
0.500 0.000 0.000
0.000 0.000 0.500
0.500 0.500 0.500
0.000 0.000 0.000
```

Output
* DFT formation energy: -623 meV per atom

=====

Record 14
TbHo2SnC | PBE | optimized geometry

```
TbHo2SnC
1.0
4.865 0.000 0.000
0.000 4.865 0.000
0.000 0.000 4.919
Tb Ho Sn C
1 2 1 1
Direct
0.000 0.000 0.000
0.000 0.500 0.500
0.500 0.000 0.500
0.500 0.500 0.000
0.000 0.000 0.500
```

Output
* DFT formation energy: -633 meV per atom

=====

Record 15
Ho2Tc2Sn2C | PBE | optimized geometry

```
Ho2Tc2Sn2C
1.0
11.861 0.000 0.000
0.000 3.568 0.000
-3.641 0.000 6.636
Ho Tc Sn C
4 4 4 2
Direct
0.043 0.000 0.257
0.457 0.500 0.743
0.543 0.500 0.257
0.957 0.000 0.743
0.176 0.500 0.047
0.324 0.000 0.953
0.676 0.000 0.047
0.824 0.500 0.953
0.165 0.500 0.665
0.335 0.000 0.335
0.665 0.000 0.665
0.835 0.500 0.335
0.000 0.500 0.000
0.500 0.000 0.000
```

Output
* DFT formation energy: -420 meV per atom

=====

Record 16
Ho4TlSnC | PBE | optimized geometry

```
Ho4TlSnC
1.0
3.404 -7.847 0.000
3.404 7.847 0.000
0.000 0.000 6.800
Ho Tl Sn C
8 2 2 2
Direct
0.000 0.500 0.000
0.000 0.500 0.500
0.089 0.911 0.750
0.410 0.590 0.750
0.500 0.000 0.000
0.500 0.000 0.500
0.590 0.410 0.250
0.911 0.089 0.250
0.111 0.889 0.250
0.889 0.111 0.750
0.388 0.612 0.250
0.612 0.388 0.750
0.249 0.751 0.750
0.751 0.249 0.250
```

Output
* DFT formation energy: -496 meV per atom

=====

Record 17
HoTm3Sn2C | PBE | optimized geometry

```
HoTm3Sn2C
1.0
4.727 0.000 0.000
0.000 4.760 0.000
0.000 0.000 15.721
Ho Tm Sn C
2 6 4 2
Direct
0.000 0.000 0.000
0.500 0.500 0.500
0.000 0.000 0.500
0.000 0.500 0.158
0.000 0.500 0.842
0.500 0.000 0.342
0.500 0.000 0.658
0.500 0.500 0.000
0.000 0.500 0.359
0.000 0.500 0.641
0.500 0.000 0.141
0.500 0.000 0.859
0.000 0.500 0.000
0.500 0.000 0.500
```

Output
* DFT formation energy: -666 meV per atom

=====

Record 18
YHo3Sn2C | PBE | optimized geometry

```
YHo3Sn2C
1.0
4.777 0.000 0.000
0.000 4.792 0.000
0.000 0.000 15.883
Y Ho Sn C
2 6 4 2
Direct
0.000 0.000 0.000
0.500 0.500 0.500
0.000 0.000 0.500
0.000 0.500 0.159
0.000 0.500 0.841
0.500 0.000 0.341
0.500 0.000 0.659
0.500 0.500 0.000
0.000 0.500 0.359
0.000 0.500 0.641
0.500 0.000 0.141
0.500 0.000 0.859
0.000 0.500 0.000
0.500 0.000 0.500
```

Output
* DFT formation energy: -668 meV per atom

=====

Record 19
YHo2SnC | PBE | optimized geometry

```
YHo2SnC
1.0
4.867 0.000 0.000
0.000 4.867 0.000
0.000 0.000 4.893
Y Ho Sn C
1 2 1 1
Direct
0.000 0.000 0.000
0.000 0.500 0.500
0.500 0.000 0.500
0.500 0.500 0.000
0.000 0.000 0.500
```

Output
* DFT formation energy: -648 meV per atom

=====

Record 20
SrHoC | PBE | optimized geometry

```
SrHoC
1.0
9.464 -1.996 0.000
9.464 1.996 0.000
-0.216 0.000 10.032
Sr Ho C
4 4 4
Direct
0.079 0.079 0.370
0.399 0.399 0.138
0.601 0.601 0.862
0.921 0.921 0.630
0.220 0.220 0.121
0.228 0.228 0.626
0.772 0.772 0.374
0.780 0.780 0.879
0.201 0.201 0.876
0.210 0.210 0.368
0.790 0.790 0.632
0.799 0.799 0.124
```

Output
* DFT formation energy: 71 meV per atom